# Mg2GeBW GGA-PBE optimized geometry
data_Mg2GeBW
_chemical_formula_sum 'Mg2 Ge1 B1 W1'
_symmetry_space_group_name_H-M 'P 1'
_symmetry_Int_Tables_number 1
_symmetry_space_group_name_Hall 'P 1'
_cell_length_a 5.2554
_cell_length_b 5.2554
_cell_length_c 4.8127
_cell_angle_alpha 90.00
_cell_angle_beta 90.00
_cell_angle_gamma 90.00
loop_
_atom_site_label
_atom_site_fract_x
_atom_site_fract_y
_atom_site_fract_z
_atom_site_occupancy
Mg1 0.0000 0.5000 0.0000 1
Mg2 0.5000 0.0000 0.0000 1
Ge1 0.0000 0.0000 0.5000 1
B1 0.5000 0.5000 0.5000 1
W1 0.0000 0.0000 0.0000 1
# E_tot	-3.739	eV per atom
# symmetry	P4/mmm, No. 123
# calculated formation energy	1.749	eV/atom

---

# YMg2GeB GGA-PBE optimized geometry
data_YMg2GeB
_chemical_formula_sum 'Y1 Mg2 Ge1 B1'
_symmetry_space_group_name_H-M 'P 1'
_symmetry_Int_Tables_number 1
_symmetry_space_group_name_Hall 'P 1'
_cell_length_a 5.8087
_cell_length_b 5.8087
_cell_length_c 4.4811
_cell_angle_alpha 90.00
_cell_angle_beta 90.00
_cell_angle_gamma 90.00
loop_
_atom_site_label
_atom_site_fract_x
_atom_site_fract_y
_atom_site_fract_z
_atom_site_occupancy
Y1 0.0000 0.0000 0.0000 1
Mg1 0.0000 0.5000 0.0000 1
Mg2 0.5000 0.0000 0.0000 1
Ge1 0.5000 0.5000 0.5000 1
B1 0.0000 0.0000 0.5000 1
# E_tot	-2.776	eV per atom
# symmetry	P4/mmm, No. 123
# calculated formation energy	1.413	eV/atom

---

# MnGe3B GGA-PBE optimized geometry
data_MnGe3B
_chemical_formula_sum 'Mn1 Ge3 B1'
_symmetry_space_group_name_H-M 'P 1'
_symmetry_Int_Tables_number 1
_symmetry_space_group_name_Hall 'P 1'
_cell_length_a 4.3198
_cell_length_b 4.3198
_cell_length_c 4.3198
_cell_angle_alpha 90.00
_cell_angle_beta 90.00
_cell_angle_gamma 90.00
loop_
_atom_site_label
_atom_site_fract_x
_atom_site_fract_y
_atom_site_fract_z
_atom_site_occupancy
Mn1 0.0000 0.0000 0.0000 1
Ge1 0.0000 0.5000 0.5000 1
Ge2 0.5000 0.0000 0.5000 1
Ge3 0.5000 0.5000 0.0000 1
B1 0.5000 0.5000 0.5000 1
# E_tot	-4.800	eV per atom
# symmetry	Pm-3m, No. 221
# calculated formation energy	1.140	eV/atom

---

# Mn5GeB2 GGA-PBE optimized geometry
data_Mn5GeB2
_chemical_formula_sum 'Mn10 Ge2 B4'
_symmetry_space_group_name_H-M 'P 1'
_symmetry_Int_Tables_number 1
_symmetry_space_group_name_Hall 'P 1'
_cell_length_a 6.5783
_cell_length_b 6.5783
_cell_length_c 6.5783
_cell_angle_alpha 129.45
_cell_angle_beta 129.45
_cell_angle_gamma 74.29
loop_
_atom_site_label
_atom_site_fract_x
_atom_site_fract_y
_atom_site_fract_z
_atom_site_occupancy
Mn1 0.0000 0.0000 0.0000 1
Mn2 0.0362 0.5362 0.8364 1
Mn3 0.1997 0.0362 0.5000 1
Mn4 0.3003 0.8003 0.8364 1
Mn5 0.4638 0.3003 0.5000 1
Mn6 0.5000 0.5000 0.0000 1
Mn7 0.5362 0.6997 0.5000 1
Mn8 0.6997 0.1997 0.1636 1
Mn9 0.8003 0.9638 0.5000 1
Mn10 0.9638 0.4638 0.1636 1
Ge1 0.2500 0.2500 0.0000 1
Ge2 0.7500 0.7500 0.0000 1
B1 0.1199 0.3801 0.5000 1
B2 0.3801 0.8801 0.2602 1
B3 0.6199 0.1199 0.7398 1
B4 0.8801 0.6199 0.5000 1
# E_tot	-8.277	eV per atom
# symmetry	I4/mcm, No. 140
# calculated formation energy	-0.299	eV/atom

---

# MnGe3B GGA-PBE optimized geometry
data_MnGe3B
_chemical_formula_sum 'Mn1 Ge3 B1'
_symmetry_space_group_name_H-M 'P 1'
_symmetry_Int_Tables_number 1
_symmetry_space_group_name_Hall 'P 1'
_cell_length_a 4.5476
_cell_length_b 4.5476
_cell_length_c 4.5476
_cell_angle_alpha 90.00
_cell_angle_beta 90.00
_cell_angle_gamma 90.00
loop_
_atom_site_label
_atom_site_fract_x
_atom_site_fract_y
_atom_site_fract_z
_atom_site_occupancy
Mn1 0.0000 0.0000 0.0000 1
Ge1 0.0000 0.0000 0.5000 1
Ge2 0.0000 0.5000 0.0000 1
Ge3 0.5000 0.0000 0.0000 1
B1 0.5000 0.5000 0.5000 1
# E_tot	-4.924	eV per atom
# symmetry	Pm-3m, No. 221
# calculated formation energy	1.016	eV/atom

---

# MnGeB3 GGA-PBE optimized geometry
data_MnGeB3
_chemical_formula_sum 'Mn1 Ge1 B3'
_symmetry_space_group_name_H-M 'P 1'
_symmetry_Int_Tables_number 1
_symmetry_space_group_name_Hall 'P 1'
_cell_length_a 4.0033
_cell_length_b 4.0033
_cell_length_c 4.0033
_cell_angle_alpha 90.00
_cell_angle_beta 90.00
_cell_angle_gamma 90.00
loop_
_atom_site_label
_atom_site_fract_x
_atom_site_fract_y
_atom_site_fract_z
_atom_site_occupancy
Mn1 0.0000 0.0000 0.0000 1
Ge1 0.5000 0.5000 0.5000 1
B1 0.0000 0.5000 0.5000 1
B2 0.5000 0.0000 0.5000 1
B3 0.5000 0.5000 0.0000 1
# E_tot	-4.446	eV per atom
# symmetry	Pm-3m, No. 221
# calculated formation energy	2.318	eV/atom

---

# Mn6GeB2 GGA-PBE optimized geometry
data_Mn6GeB2
_chemical_formula_sum 'Mn12 Ge2 B4'
_symmetry_space_group_name_H-M 'P 1'
_symmetry_Int_Tables_number 1
_symmetry_space_group_name_Hall 'P 1'
_cell_length_a 6.2074
_cell_length_b 6.2074
_cell_length_c 6.2074
_cell_angle_alpha 114.38
_cell_angle_beta 110.65
_cell_angle_gamma 103.56
loop_
_atom_site_label
_atom_site_fract_x
_atom_site_fract_y
_atom_site_fract_z
_atom_site_occupancy
Mn1 0.0310 0.2458 0.7852 1
Mn2 0.1938 0.2892 0.4830 1
Mn3 0.1938 0.7108 0.9046 1
Mn4 0.3187 0.0170 0.6983 1
Mn5 0.3187 0.6204 0.3017 1
Mn6 0.4606 0.2458 0.2148 1
Mn7 0.5394 0.7542 0.7852 1
Mn8 0.6813 0.3796 0.6983 1
Mn9 0.6813 0.9830 0.3017 1
Mn10 0.8062 0.2892 0.0954 1
Mn11 0.8062 0.7108 0.5170 1
Mn12 0.9690 0.7542 0.2148 1
Ge1 0.0000 0.0000 0.0000 1
Ge2 0.5000 0.5000 0.0000 1
B1 0.1147 0.6147 0.5000 1
B2 0.3681 0.0000 0.3681 1
B3 0.6319 0.0000 0.6319 1
B4 0.8853 0.3853 0.5000 1
# E_tot	-8.313	eV per atom
# symmetry	Immm, No. 71
# calculated formation energy	-0.203	eV/atom

---

# MnGeB3 GGA-PBE optimized geometry
data_MnGeB3
_chemical_formula_sum 'Mn1 Ge1 B3'
_symmetry_space_group_name_H-M 'P 1'
_symmetry_Int_Tables_number 1
_symmetry_space_group_name_Hall 'P 1'
_cell_length_a 3.8672
_cell_length_b 3.8672
_cell_length_c 3.8672
_cell_angle_alpha 90.00
_cell_angle_beta 90.00
_cell_angle_gamma 90.00
loop_
_atom_site_label
_atom_site_fract_x
_atom_site_fract_y
_atom_site_fract_z
_atom_site_occupancy
Mn1 0.0000 0.0000 0.0000 1
Ge1 0.5000 0.5000 0.5000 1
B1 0.0000 0.0000 0.5000 1
B2 0.0000 0.5000 0.0000 1
B3 0.5000 0.0000 0.0000 1
# E_tot	-5.798	eV per atom
# symmetry	Pm-3m, No. 221
# calculated formation energy	0.966	eV/atom